4
Lattice="-0.489 3.928 2.321 -3.539 2.776 -0.908 -3.400 0.456 3.048" Properties=species:S:1:pos:R:3 comment="MgNiAgHg (PBE-GGA, optimized geometry)" n_ef_per_ev_fu=2.13 total_magnetization_mub_per_atom=0.00 volume_a3_per_atom=17.08 dft_energy_ev_per_fu=-10.57 pbc="T T T"
Ni -3.714 3.580 2.230
Mg -1.857 1.790 1.115
Hg -5.571 5.370 3.346
Ag 0.000 0.000 0.000